[1]
# KOs2Cl

A relaxed KOs2Cl crystal (PBE-GGA, the Alexandria database).

a b c (Å): 4.940 4.940 8.735
angles (deg): 73.57 73.57 90.00
Element x y z (fractional)
Os 0.875 0.603 0.750
Os 0.375 0.647 0.750
Os 0.353 0.125 0.250
Os 0.397 0.625 0.250
Cl 0.500 0.500 0.000
Cl 0.250 0.750 0.500
K 0.750 0.250 0.500
K 0.000 0.000 0.000

Properties
The calculation puts the final energy at -5.10 eV/atom. For the energy above the most stable polymorph in this dataset, the calculation gives 995 meV/atom.


[2]
# PrScHg2

A relaxed PrScHg2 crystal (PBE-GGA, the Alexandria database).

a b c (Å): 3.621 3.621 7.661
angles (deg): 90.00 90.00 90.00
Element x y z (fractional)
Hg 0.000 0.000 0.785
Hg 0.000 0.000 0.215
Pr 0.500 0.500 0.500
Sc 0.500 0.500 0.000

Properties
The formation energy is -442 meV per atom. The calculation puts the final energy at -3.37 eV/atom. For the energy above the most stable polymorph in this dataset, the calculation gives 0 meV/atom.


[3]
# CaPm2Hg

A relaxed CaPm2Hg crystal (PBE-GGA, the Alexandria database).

a b c (Å): 5.565 5.565 5.565
angles (deg): 60.00 60.00 60.00
Element x y z (fractional)
Ca 0.500 0.500 0.500
Pm 0.750 0.750 0.750
Pm 0.250 0.250 0.250
Hg 0.000 0.000 0.000

Properties
The formation energy is -85 meV per atom. The calculation puts the final energy at -3.04 eV/atom. For the energy above the most stable polymorph in this dataset, the calculation gives 120 meV/atom.


[4]
# Fe2SbPb

A relaxed Fe2SbPb crystal (PBE-GGA, the Alexandria database).

a b c (Å): 3.334 3.334 6.821
angles (deg): 90.00 90.00 89.95
Element x y z (fractional)
Pb 0.500 0.500 0.250
Fe 0.000 0.000 0.939
Fe 0.000 0.000 0.561
Sb 0.500 0.500 0.750

Properties
The calculation puts the final energy at -5.72 eV/atom. For the energy above the most stable polymorph in this dataset, the calculation gives 265 meV/atom.


[5]
# Sr2AcCd

A relaxed Sr2AcCd crystal (PBE-GGA, the Alexandria database).

a b c (Å): 3.978 3.978 10.452
angles (deg): 90.00 90.00 90.00
Element x y z (fractional)
Cd 0.500 0.500 0.000
Sr 0.000 0.000 0.800
Sr 0.000 0.000 0.200
Ac 0.500 0.500 0.500

Properties
The formation energy is -103 meV per atom. The calculation puts the final energy at -2.20 eV/atom. For the energy above the most stable polymorph in this dataset, the calculation gives 0 meV/atom.


[6]
# ZrTcGe3

A relaxed ZrTcGe3 crystal (PBE-GGA, the Alexandria database).

a b c (Å): 4.762 4.762 4.762
angles (deg): 90.00 90.00 90.00
Element x y z (fractional)
Tc 0.000 0.000 0.000
Ge 0.000 0.000 0.500
Ge 0.000 0.500 0.000
Ge 0.500 0.000 0.000
Zr 0.500 0.500 0.500

Properties
The formation energy is 512 meV per atom. The calculation puts the final energy at -6.04 eV/atom. For the energy above the most stable polymorph in this dataset, the calculation gives 0 meV/atom.


[7]
# Tb2CdIr2

A relaxed Tb2CdIr2 crystal (PBE-GGA, the Alexandria database).

a b c (Å): 5.444 5.785 8.349
angles (deg): 106.75 90.00 118.07
Element x y z (fractional)
Ir 0.302 0.285 0.518
Ir 0.017 0.715 0.982
Ir 0.698 0.715 0.482
Ir 0.983 0.285 0.018
Tb 0.483 0.290 0.148
Tb 0.517 0.710 0.852
Tb 0.806 0.290 0.648
Tb 0.194 0.710 0.352
Cd 0.163 0.000 0.750
Cd 0.837 0.000 0.250

Properties
The formation energy is -667 meV per atom. The calculation puts the final energy at -6.25 eV/atom.


[8]
# Mn3Nb2Pt4

A relaxed Mn3Nb2Pt4 crystal (PBE-GGA, the Alexandria database).

a b c (Å): 3.913 4.886 8.302
angles (deg): 73.96 76.37 66.39
Element x y z (fractional)
Mn 0.337 0.769 0.558
Mn 0.000 0.000 0.000
Mn 0.663 0.231 0.442
Nb 0.332 0.116 0.219
Nb 0.668 0.884 0.781
Pt 0.012 0.313 0.664
Pt 0.335 0.442 0.888
Pt 0.665 0.558 0.112
Pt 0.988 0.687 0.336

Properties
The formation energy is -425 meV per atom. The calculation puts the final energy at -8.40 eV/atom.